DFT (PBE with a Hubbard U) results for AcCoOsO6 after structural relaxation.

Calculated values
- Calculated total energy: -65.3 eV/cell
- Spin magnetization: 2.01 μB/f.u.
- Volume: 13.588 Å³/atom
- Space-group type: P312, No. 149

Geometry as POSCAR:
```
AcCoOsO6
1.0
5.143 0.000 0.000
-2.571 4.454 0.000
0.000 0.000 5.339
Ac Co Os O
1 1 1 6
direct
0.000 0.000 0.000
0.667 0.333 0.500
0.333 0.667 0.500
0.381 0.003 0.299
0.381 0.378 0.701
0.622 0.003 0.701
0.622 0.619 0.299
0.997 0.378 0.299
0.997 0.619 0.701
```